VASP calculation (PBEsol) on a relaxed structure of ReSe2BrCl.

Output
Symmetry = P4/mmm, No. 123
Density of states at the Fermi level = 3.38 states/eV/cell
Density = 6.6 g/cm3
Formation energy from raw total energies = 0.316 eV per atom
E_tot = -4.666 eV per atom

```
ReSe2BrCl
1.0
4.7558 0.0000 0.0000
0.0000 4.7558 0.0000
0.0000 0.0000 5.0750
Br Cl Se Re
1 1 2 1
Direct
0.0000 0.0000 0.5000 Br
0.5000 0.5000 0.5000 Cl
0.5000 0.0000 0.0000 Se
0.0000 0.5000 0.0000 Se
0.0000 0.0000 0.0000 Re
```



VASP calculation (PBEsol) on a relaxed structure of RhBr2Cl.

Output
Symmetry = F-43m, No. 216
Density of states at the Fermi level = 5.46 states/eV/cell
Density = 6.5 g/cm3
Formation energy from raw total energies = 0.729 eV per atom
E_tot = -2.743 eV per atom

```
RhBr2Cl
1.0
-2.1236 3.1771 -2.8243
-3.4165 -1.3923 -2.9949
-4.5148 1.2476 0.8005
Rh Br Cl
1 2 1
Direct
0.7500 0.7500 0.7500 Rh
0.0000 0.0000 0.0000 Br
0.2500 0.2500 0.2500 Br
0.5000 0.5000 0.5000 Cl
```